Computed, not measured: a geometry-optimized SiAg2W structure at the PBEsol level of DFT.

Cell lengths 2.7890, 2.7890, 9.4096 Å; angles 81.48, 81.48, 60.00 degrees
Last column: nearest neighbours and their distance in Å.
Atoms (fractional coordinates):
1 Si 0.5000 0.5000 0.5000  6 Ag 2.75, 6 Si 2.79
2 W 0.0000 0.0000 0.0000  6 W 2.79, 6 Ag 2.90
3 Ag 0.7534 0.7534 0.7399  3 Si 2.75, 6 Ag 2.79, 3 W 2.90
4 Ag 0.2466 0.2466 0.2601  3 Si 2.75, 6 Ag 2.79, 3 W 2.90

- E_form (uncorrected) (eV per formula unit) = 1.62
- uncorrected energy (eV per atom) = -6.138
- density (g/cm³) = 11.371
- Fermi-level density of states (states/eV/f.u.) = 1.835